[1]
16
Lattice="0.000 7.192 13.008 3.059 0.000 13.008 3.059 7.192 0.000" Properties=species:S:1:pos:R:3 comment="PBE Cs2PuNiS4, optimized geometry" final_energy_ev_per_cell=-91.461 magnetic_moment_mub_per_fu=1.97 raw_formation_energy_mev_per_atom=-925 crystal_system=orthorhombic sg="Fddd (70)" pbc="T T T"
Cs 2.294 5.394 1.388
Cs 3.824 8.990 7.892
Cs 2.294 5.394 18.124
Cs 3.824 8.990 24.628
Pu 0.765 1.798 3.252
Pu 5.353 12.586 22.763
Ni 2.294 5.394 9.756
Ni 3.824 8.990 16.260
S 3.612 4.050 8.495
S 3.612 6.737 11.017
S 5.142 7.646 17.520
S 5.142 10.333 14.999
S 0.976 4.050 11.017
S 0.976 6.737 8.495
S 2.506 7.646 14.999
S 2.506 10.333 17.520

[2]
9
Lattice="7.237 -1.975 0.000 7.237 1.975 0.000 -2.522 0.000 7.723" Properties=species:S:1:pos:R:3 comment="PBE Cs2PuNi2S4, optimized geometry" final_energy_ev_per_cell=-53.500 magnetic_moment_mub_per_fu=2.30 raw_formation_energy_mev_per_atom=-1043 crystal_system=monoclinic sg="C2/m (12)" pbc="T T T"
Cs 1.861 0.000 0.473
Cs 10.091 0.000 7.250
Pu -1.261 0.000 3.861
Ni 3.297 0.000 3.980
Ni 8.655 0.000 3.743
S 1.217 0.000 4.935
S 5.059 0.000 5.477
S 6.893 0.000 2.246
S 10.734 0.000 2.787

[3]
11
Lattice="3.645 -5.414 0.000 3.645 5.414 0.000 -2.155 0.000 7.995" Properties=species:S:1:pos:R:3 comment="PBE Cs2Pu2NiS6, optimized geometry" final_energy_ev_per_cell=-73.458 magnetic_moment_mub_per_fu=8.00 raw_formation_energy_mev_per_atom=-1140 crystal_system=monoclinic sg="C2/m (12)" pbc="T T T"
Cs 3.645 3.347 0.000
Cs 3.645 -3.347 0.000
Pu 2.568 1.833 3.997
Pu 2.568 -1.833 3.997
Ni -1.078 0.000 3.997
S 0.059 1.553 5.235
S 1.850 0.000 2.225
S 0.059 -1.553 5.235
S 5.076 1.553 2.760
S 3.285 0.000 5.770
S 5.076 -1.553 2.760